No. 1
Density functional theory data (PBE) for an optimized crystal structure of Nd5YSb4.

Computed properties:
The crystal system is monoclinic. Its total energy is -5.4747 eV per atom.

POSCAR file:
```
Nd5YSb4
1.0
-3.2767 -2.6672 1.2438
-1.0517 -2.5487 -8.2365
8.0281 -4.7875 3.0852
Nd Sb Y
5 4 1
direct
0.1649 0.8282 0.3297
0.8267 0.6524 0.6534
0.1733 0.3476 0.3466
0.8351 0.1718 0.6703
0.5000 0.5000 0.0000
0.0051 0.2495 0.0103
0.6671 0.0877 0.3341
0.9949 0.7505 0.9897
0.3329 0.9123 0.6659
0.5000 0.0000 0.0000
```

No. 2
Density functional theory data (PBE) for an optimized crystal structure of NdY2Sb.

Computed properties:
The crystal system is tetragonal. The energy above the most stable polymorph in this dataset comes out at 94 meV/atom.

POSCAR file:
```
NdY2Sb
1.0
4.7747 0.0000 0.0000
0.0000 4.8865 0.0000
0.0000 0.0000 4.8865
Y Sb Nd
2 1 1
direct
0.0000 0.5000 0.0000
0.0000 0.0000 0.5000
0.5000 0.0000 0.0000
0.5000 0.5000 0.5000
```

No. 3
Density functional theory data (PBE) for an optimized crystal structure of NdY2Sb.

Computed properties:
The crystal system is orthorhombic. The energy above the most stable polymorph in this dataset comes out at 0 meV/atom.

POSCAR file:
```
NdY2Sb
1.0
-2.6046 1.0978 -3.0565
-2.8188 -4.7592 3.5283
-3.9590 6.6048 5.7460
Nd Y Sb
2 4 2
direct
0.0574 0.1149 0.7500
0.9426 0.8851 0.2500
0.6378 0.2756 0.0435
0.6378 0.2756 0.4565
0.3622 0.7244 0.9565
0.3622 0.7244 0.5435
0.7621 0.5242 0.7500
0.2379 0.4758 0.2500
```

No. 4
Density functional theory data (PBE) for an optimized crystal structure of Nd2YSb.

Computed properties:
The crystal system is trigonal. The energy above the most stable polymorph in this dataset comes out at 245 meV/atom.

POSCAR file:
```
Nd2YSb
1.0
-2.2921 2.4072 -2.4102
-2.6882 -1.6744 -2.6129
-8.5587 0.5718 5.2131
Sb Nd Y
1 2 1
direct
0.0000 0.0000 0.0000
0.2651 0.2651 0.2046
0.7349 0.7349 0.7954
0.5000 0.5000 0.5000
```

No. 5
Density functional theory data (PBE) for an optimized crystal structure of Nd5Y2Sb4.

Computed properties:
The crystal system is monoclinic. Its total energy is -5.4044 eV per atom.

POSCAR file:
```
Nd5Y2Sb4
1.0
-3.7552 1.6517 0.6602
-2.9898 -7.3216 1.3120
8.9511 11.5616 8.9114
Nd Y Sb
5 2 4
direct
0.5000 0.0000 0.0000
0.9233 0.3948 0.8467
0.0767 0.6052 0.1533
0.1762 0.3957 0.3523
0.8238 0.6043 0.6477
0.7823 0.9569 0.5646
0.2177 0.0431 0.4354
0.3556 0.4110 0.7112
0.9520 0.1119 0.9040
0.6444 0.5890 0.2888
0.0480 0.8881 0.0960
```

No. 6
Density functional theory data (PBE) for an optimized crystal structure of Nd3YSb4.

Computed properties:
The crystal system is orthorhombic. Its total energy is -5.8363 eV per atom.

POSCAR file:
```
Nd3YSb4
1.0
-0.7969 -2.7092 -3.4994
3.0207 -5.9861 3.9464
-7.6408 0.4406 1.3989
Nd Sb Y
3 4 1
direct
0.0000 0.5000 0.0000
0.5000 0.5000 0.5000
0.0000 0.0000 0.5000
0.0000 0.7555 0.7555
0.5000 0.2472 0.7528
0.0000 0.2445 0.2445
0.5000 0.7528 0.2472
0.5000 0.0000 0.0000
```

No. 7
Density functional theory data (PBE) for an optimized crystal structure of NdY3Sb2.

Computed properties:
The crystal system is monoclinic. Its total energy is -6.1292 eV per atom.

POSCAR file:
```
NdY3Sb2
1.0
4.3979 0.0000 0.0000
-2.1990 10.3272 -0.6162
0.0000 -5.1765 8.2300
Nd Y Sb
2 6 4
direct
0.8894 0.7788 0.8994
0.1106 0.2212 0.1006
0.0573 0.1145 0.4366
0.9427 0.8855 0.5634
0.3116 0.6231 0.5159
0.6884 0.3769 0.4841
0.6461 0.2922 0.8145
0.3539 0.7078 0.1855
0.5101 0.0203 0.1772
0.4899 0.9797 0.8228
0.2459 0.4918 0.7730
0.7541 0.5082 0.2270
```

No. 8
Density functional theory data (PBE) for an optimized crystal structure of Nd8Zn2Sb.

Computed properties:
The crystal system is monoclinic. Its total energy is -4.3181 eV per atom.

POSCAR file:
```
Nd8Zn2Sb
1.0
5.1617 0.0000 0.0000
0.0000 7.1552 0.4509
-2.5809 -2.5316 9.1382
Zn Nd Sb
2 8 1
direct
0.1921 0.7329 0.3841
0.8079 0.2671 0.6159
0.6677 0.9647 0.3354
0.5924 0.4502 0.1849
0.9674 0.2417 0.9348
0.2031 0.3236 0.4062
0.3323 0.0353 0.6646
0.0326 0.7583 0.0652
0.7969 0.6764 0.5938
0.4076 0.5498 0.8151
0.5000 0.0000 0.0000
```

No. 9
Density functional theory data (PBE) for an optimized crystal structure of Nd3ZnSb.

Computed properties:
The crystal system is monoclinic. Its total energy is -4.4734 eV per atom.

POSCAR file:
```
Nd3ZnSb
1.0
-3.1937 -1.3378 2.4011
6.2771 -5.1913 1.7542
2.5383 5.4816 6.4283
Nd Zn Sb
6 2 2
direct
0.2690 0.5708 0.0238
0.4239 0.8805 0.6554
0.0643 0.1616 0.4056
0.9797 0.9926 0.0157
0.7750 0.5833 0.3978
0.6201 0.2735 0.7660
0.2343 0.5019 0.6442
0.8096 0.6522 0.7777
0.4134 0.8600 0.2825
0.6305 0.2941 0.1389
```

No. 10
Density functional theory data (PBE) for an optimized crystal structure of NdZn2Sb2.

Computed properties:
The crystal system is orthorhombic. Its total energy is -3.5444 eV per atom.

POSCAR file:
```
NdZn2Sb2
1.0
0.1586 -3.4440 2.5435
4.1369 0.8330 0.8700
-3.6687 9.0090 8.8189
Sb Zn Nd
4 4 2
direct
0.1120 0.2500 0.2239
0.8880 0.7500 0.7761
0.7502 0.2500 0.5004
0.2498 0.7500 0.4996
0.9642 0.2500 0.9284
0.4702 0.7500 0.9404
0.5298 0.2500 0.0596
0.0358 0.7500 0.0716
0.6526 0.7500 0.3053
0.3474 0.2500 0.6947
```

No. 11
Density functional theory data (PBE) for an optimized crystal structure of Nd7Zn2Sb2.

Computed properties:
The crystal system is orthorhombic. Its total energy is -4.2410 eV per atom.

POSCAR file:
```
Nd7Zn2Sb2
1.0
-4.0009 -6.1856 -0.0330
1.2324 -0.7623 -6.5769
6.7031 -2.6273 1.5608
Sb Nd Zn
2 7 2
direct
0.1931 0.5000 0.1931
0.8069 0.5000 0.8069
0.0000 0.2610 0.5000
0.5000 0.7558 0.5000
0.5000 0.2442 0.5000
0.5000 0.2610 0.0000
0.0000 0.0000 0.0000
0.5000 0.7390 0.0000
0.0000 0.7390 0.5000
0.7263 0.0000 0.2737
0.2737 0.0000 0.7263
```

No. 12
Density functional theory data (PBE) for an optimized crystal structure of Nd4ZnSb.

Computed properties:
The crystal system is orthorhombic. Its total energy is -4.3936 eV per atom.

POSCAR file:
```
Nd4ZnSb
1.0
-3.0036 -4.6921 1.1461
-1.0989 -0.8350 -6.2987
10.2039 -3.4090 -1.3283
Nd Sb Zn
8 2 2
direct
0.4422 0.8222 0.8844
0.5578 0.3222 0.1156
0.1098 0.8222 0.2196
0.2932 0.5729 0.5863
0.7068 0.0729 0.4137
0.7068 0.5715 0.4136
0.2932 0.0715 0.5864
0.8902 0.3222 0.7804
0.1501 0.3222 0.3003
0.8499 0.8222 0.6997
0.5809 0.8224 0.1617
0.4191 0.3224 0.8383
```

No. 13
Density functional theory data (PBE) for an optimized crystal structure of NdZn2Sb.

Computed properties:
The crystal system is tetragonal. Its total energy is -3.2844 eV per atom.

POSCAR file:
```
NdZn2Sb
1.0
-2.4119 1.0099 3.8188
-3.2576 -2.7262 -1.3365
1.9578 -3.3844 2.1315
Nd Sb Zn
1 1 2
direct
0.5000 0.0000 0.0000
0.5000 0.5000 0.5000
0.0000 0.0000 0.5000
0.0000 0.5000 0.0000
```

No. 14
Density functional theory data (PBE) for an optimized crystal structure of Nd4Zn2Sb.

Computed properties:
The crystal system is trigonal. Its total energy is -4.0174 eV per atom.

POSCAR file:
```
Nd4Zn2Sb
1.0
-3.3993 -3.8230 -0.9427
1.3776 -4.9556 0.7771
-3.4885 -2.4316 8.0884
Sb Nd Zn
1 4 2
direct
0.0000 0.0000 0.0000
0.6181 0.6181 0.1457
0.3819 0.3819 0.8543
0.8689 0.8689 0.3933
0.1311 0.1311 0.6067
0.2461 0.2461 0.2618
0.7539 0.7539 0.7382
```

No. 15
Density functional theory data (PBE) for an optimized crystal structure of Nd3ZrSb4.

Computed properties:
The crystal system is orthorhombic. Its total energy is -5.9387 eV per atom.

POSCAR file:
```
Nd3ZrSb4
1.0
4.4186 0.0000 0.0000
0.0000 7.6521 -0.0622
0.0000 -2.4715 7.2422
Sb Nd Zr
4 3 1
direct
0.5000 0.7589 0.2411
0.0000 0.7666 0.7666
0.5000 0.2411 0.7589
0.0000 0.2334 0.2334
0.0000 0.5000 0.0000
0.5000 0.5000 0.5000
0.0000 0.0000 0.5000
0.5000 0.0000 0.0000
```

No. 16
Density functional theory data (PBE) for an optimized crystal structure of Nd3ZrSb5.

Computed properties:
The crystal system is hexagonal. Its total energy is -5.7888 eV per atom.

POSCAR file:
```
Nd3ZrSb5
1.0
9.5835 0.0000 0.0000
-4.7918 8.2996 0.0000
0.0000 0.0000 6.2854
Sb Nd Zr
10 6 2
direct
0.3333 0.6667 0.0000
0.0000 0.2649 0.2500
0.6667 0.3333 0.5000
0.2649 0.0000 0.2500
0.0000 0.7351 0.7500
0.6667 0.3333 0.0000
0.3333 0.6667 0.5000
0.2649 0.2649 0.7500
0.7351 0.0000 0.7500
0.7351 0.7351 0.2500
0.3810 0.3810 0.2500
0.6190 0.0000 0.2500
0.0000 0.3810 0.7500
0.0000 0.6190 0.2500
0.6190 0.6190 0.7500
0.3810 0.0000 0.7500
0.0000 0.0000 0.0000
0.0000 0.0000 0.5000
```

No. 17
Density functional theory data (PBE) for an optimized crystal structure of NdZr3Sb2.

Computed properties:
The crystal system is monoclinic. Its total energy is -7.0039 eV per atom.

POSCAR file:
```
NdZr3Sb2
1.0
4.0768 0.0000 0.0000
-2.0384 9.6013 -0.5186
0.0000 -4.7247 8.4835
Zr Nd Sb
6 2 4
direct
0.6824 0.3648 0.4607
0.6065 0.2131 0.7091
0.0484 0.0968 0.4222
0.9516 0.9032 0.5778
0.3176 0.6352 0.5393
0.3935 0.7869 0.2909
0.1215 0.2430 0.1014
0.8785 0.7570 0.8986
0.2264 0.4527 0.7249
0.7736 0.5473 0.2751
0.5085 0.0169 0.1729
0.4915 0.9831 0.8271
```

No. 18
Density functional theory data (PBE) for an optimized crystal structure of NdZrSb3.

Computed properties:
The crystal system is orthorhombic. Its total energy is -5.8884 eV per atom.

POSCAR file:
```
NdZrSb3
1.0
-4.9094 4.1052 0.5835
-3.5686 -3.7369 -3.7345
-4.3416 -6.7403 10.8935
Sb Nd Zr
12 4 4
direct
0.2500 0.6282 0.0816
0.5000 0.7500 0.5032
0.5000 0.2500 0.4968
0.2500 0.0045 0.2376
0.7500 0.3718 0.9184
0.0000 0.2500 0.4968
0.2500 0.1282 0.9184
0.2500 0.5045 0.7624
0.0000 0.7500 0.5032
0.7500 0.4955 0.2376
0.7500 0.8718 0.0816
0.7500 0.9955 0.7624
0.7500 0.9882 0.3196
0.7500 0.4882 0.6804
0.2500 0.0118 0.6804
0.2500 0.5118 0.3196
0.5000 0.7500 0.9092
0.0000 0.7500 0.9092
0.0000 0.2500 0.0908
0.5000 0.2500 0.0908
```

No. 19
Density functional theory data (PBE) for an optimized crystal structure of Nd3ZrSb4.

Computed properties:
The crystal system is monoclinic. Its total energy is -5.9390 eV per atom.

POSCAR file:
```
Nd3ZrSb4
1.0
7.6379 0.0603 0.0000
-2.6209 7.2002 0.0000
0.0000 0.0000 8.8589
Sb Nd Zr
8 6 2
direct
0.0000 0.7673 0.8841
0.5000 0.2327 0.8841
0.4913 0.2414 0.3660
0.0000 0.2327 0.1159
0.0087 0.7586 0.3660
0.5087 0.7586 0.6340
0.5000 0.7673 0.1159
0.9913 0.2414 0.6340
0.2500 0.5000 0.3738
0.7500 0.0000 0.3742
0.7500 0.5000 0.6262
0.7500 0.5000 0.1245
0.2500 0.5000 0.8755
0.2500 0.0000 0.6258
0.2500 0.0000 0.1257
0.7500 0.0000 0.8743
```

No. 20
Density functional theory data (PBE) for an optimized crystal structure of NdSc3.

Computed properties:
The value obtained for the calculated formation energy is 103 meV/atom. The crystal system is cubic. The energy above the most stable polymorph in this dataset comes out at 63 meV/atom.

POSCAR file:
```
NdSc3
1.0
-3.9414 -1.3008 -3.3568
0.6658 -3.9942 -3.4783
-2.6608 -4.5810 0.6551
Sc Nd
3 1
direct
0.2500 0.2500 0.2500
0.0000 0.0000 0.0000
0.7500 0.7500 0.7500
0.5000 0.5000 0.5000
```

| no. | mass density (g cm⁻³) | DOS at the Fermi energy (states/eV/f.u.) |
| --- | --- | --- |
| 1 | 6.1 | 6.9 |
| 2 | 6.5 | 4.3 |
| 3 | 5.9 | 5.6 |
| 4 | 5.8 | 5.1 |
| 5 | 6.0 | 12.6 |
| 6 | 6.5 | 1.0 |
| 7 | 6.0 | 6.3 |
| 8 | 6.8 | 11.2 |
| 9 | 6.9 | 6.2 |
| 10 | 7.2 | 1.8 |
| 11 | 6.4 | 14.8 |
| 12 | 6.6 | 7.7 |
| 13 | 7.2 | 2.0 |
| 14 | 6.8 | 7.0 |
| 15 | 6.9 | 1.5 |
| 16 | 7.5 | 2.6 |
| 17 | 6.8 | 4.9 |
| 18 | 7.2 | 2.8 |
| 19 | 6.9 | 1.5 |
| 20 | 4.3 | 5.4 |